# 1
An optimized crystal structure of CsSbHIr. Source: Alexandria, functional PBE-GGA.

Computed properties:
Electronic total energy = -4.3952 eV per atom
DOS(E_F) = 0.39 states/eV/atom

abc: 7.915 4.068 7.246
angles: 90.00 108.94 90.00
Space group Cm (No. 8)
Asymmetric unit:
1 Cs 0.000 0.000 0.000 (multiplicity 2)
2 Sb 0.188 0.000 0.555 (multiplicity 2)
3 H 0.383 0.000 0.229 (multiplicity 2)
4 Ir 0.479 0.000 0.464 (multiplicity 2)

---

# 2
An optimized crystal structure of CsSbHIr. Source: Alexandria, functional PBE-GGA.

Computed properties:
Electronic total energy = -4.1823 eV per atom
DOS(E_F) = 0.27 states/eV/atom

abc: 4.044 4.051 6.700
angles: 78.81 78.46 76.39
Space group P1 (No. 1)
Asymmetric unit:
1 Cs 0.000 0.000 0.000 (multiplicity 1)
2 Sb 0.446 0.452 0.492 (multiplicity 1)
3 H 0.505 0.507 0.211 (multiplicity 1)
4 Ir 0.828 0.835 0.549 (multiplicity 1)